# 1
The following is a PBE calculation of NaHI after structural relaxation, from the Alexandria database.

Results
Offset from the most stable computed form (eV/atom): 0.000
Electronic total energy (Ry/atom): -0.2126
Space group: P1, No. 1

a = 5.3753 Å, b = 5.4574 Å, c = 6.4926 Å
α = 89.15°, β = 89.73°, γ = 63.61°
Element x y z (fractional)
Na (0.0000, 0.0000, 0.0000)
Na (0.3380, 0.3557, 0.4916)
H (0.6493, 0.6378, 0.2073)
H (0.6901, 0.7169, 0.2832)
I (0.3414, 0.3502, 0.9898)
I (0.9971, 0.0050, 0.5017)

# 2
The following is a PBE calculation of NaHI after structural relaxation, from the Alexandria database.

Results
Offset from the most stable computed form (eV/atom): 0.531
Electronic total energy (Ry/atom): -0.1736
Space group: Pmmn, No. 59

a = 4.6271 Å, b = 4.7293 Å, c = 6.5772 Å
α = 90.00°, β = 90.00°, γ = 90.00°
Element x y z (fractional)
Na (0.2500, 0.2500, 0.2497)
Na (0.7500, 0.7500, 0.7503)
H (0.2500, 0.7500, 0.7495)
H (0.7500, 0.2500, 0.2505)
I (0.2500, 0.2500, 0.7497)
I (0.7500, 0.7500, 0.2503)

# 3
The following is a PBE calculation of NaH2I after structural relaxation, from the Alexandria database.

Results
Offset from the most stable computed form (eV/atom): 0.005
Electronic total energy (Ry/atom): -0.2217
Space group: P2_1/m, No. 11

a = 4.4154 Å, b = 4.4977 Å, c = 10.1294 Å
α = 90.00°, β = 90.22°, γ = 90.00°
Element x y z (fractional)
Na (0.2489, 0.2500, 0.3600)
Na (0.7511, 0.7500, 0.6400)
H (0.2494, 0.6664, 0.9759)
H (0.2494, 0.8336, 0.9759)
H (0.7506, 0.1664, 0.0241)
H (0.7506, 0.3336, 0.0241)
I (0.2514, 0.2500, 0.6737)
I (0.7486, 0.7500, 0.3263)